1.
Computed, not measured: an optimized crystal structure of Cs2AcCr3F12 at the GGA+U level of DFT.

Lattice parameters (Å, degrees): 7.3813 7.3813 7.3813 65.78 65.78 65.78
Last column: nearest neighbours and their distance in Å.
Positions (direct):
F (0.0883, 0.7322, 0.7322)  2 Cr 2.09
F (0.8801, 0.3936, 0.8801)  1 Cr 1.99
F (0.9117, 0.2678, 0.2678)  2 Cr 2.09
F (0.8801, 0.8801, 0.3936)  1 Cr 1.99
F (0.7322, 0.7322, 0.0883)  2 Cr 2.09
F (0.3936, 0.8801, 0.8801)  1 Cr 1.99
F (0.1199, 0.6064, 0.1199)  1 Cr 1.99
F (0.2678, 0.9117, 0.2678)  2 Cr 2.09
F (0.1199, 0.1199, 0.6064)  1 Cr 1.99
F (0.7322, 0.0883, 0.7322)  2 Cr 2.09
F (0.6064, 0.1199, 0.1199)  1 Cr 1.99
F (0.2678, 0.2678, 0.9117)  2 Cr 2.09
Cr (0.5000, 0.0000, 0.0000)  6 F 1.99-2.09
Cr (0.0000, 0.0000, 0.5000)  6 F 1.99-2.09
Cr (0.0000, 0.5000, 0.0000)  6 F 1.99-2.09
Cs (0.3890, 0.3890, 0.3890)  3 F 2.91
Cs (0.6110, 0.6110, 0.6110)  3 F 2.91
Ac (0.0000, 0.0000, 0.0000)  6 F 2.54

Values from the calculation:
Symmetry: No. 166
Crystal system: trigonal

=====

2.
Computed, not measured: an optimized crystal structure of CsRb3Cr2O8 at the GGA+U level of DFT.

Lattice parameters (Å, degrees): 6.2449 6.2449 9.2438 90.00 90.00 120.00
Last column: nearest neighbours and their distance in Å.
Positions (direct):
Cr (0.3333, 0.6667, 0.2031)  4 O 1.66-1.67
Cr (0.6667, 0.3333, 0.7969)  4 O 1.66-1.67
Rb (0.6667, 0.3333, 0.2676)  1 O 2.69
Rb (0.0000, 0.0000, 0.0000)  6 O 3.17
Rb (0.3333, 0.6667, 0.7324)  1 O 2.69
O (0.8126, 0.1874, 0.7369)  1 Cr 1.67
O (0.1874, 0.3748, 0.2631)  1 Cr 1.67
O (0.6667, 0.3333, 0.9760)  1 Cr 1.66
O (0.1874, 0.8126, 0.2631)  1 Cr 1.67
O (0.6252, 0.8126, 0.2631)  1 Cr 1.67
O (0.3333, 0.6667, 0.0240)  1 Cr 1.66
O (0.3748, 0.1874, 0.7369)  1 Cr 1.67
O (0.8126, 0.6252, 0.7369)  1 Cr 1.67
Cs (0.0000, 0.0000, 0.5000)  6 O 2.98

Values from the calculation:
Symmetry: No. 164
Crystal system: trigonal

=====

no.,DFT total energy (hartree per atom)
1,-0.21523
2,-0.21401